## w
Compound: LaTbErZn
Source: Alexandria
Functional: PBE
Structure: optimized geometry

## Properties
Space-group type ... P4mm (99)

Cell lengths 3.5936, 3.5936, 8.8056 Å; angles 90.00, 90.00, 90.00 degrees
Closest atoms and distances in Å follow each position.
Sites, in units of the cell vectors:
1 La 0.0000 0.0000 0.0000  4 La 3.59, 4 Er 3.66, 4 Tb 3.69
2 Tb 0.5000 0.5000 0.6958  4 Zn 3.11
3 Er 0.5000 0.5000 0.2988  4 Zn 3.06
4 Zn 0.0000 0.0000 0.4920  4 Er 3.06, 4 Tb 3.11

***

## x
Compound: LaTbErZn
Source: Alexandria
Functional: PBE
Structure: optimized geometry

## Properties
Space-group type ... F-43m (216)

Cell lengths 5.4270, 5.4270, 5.4270 Å; angles 60.00, 60.00, 60.00 degrees
Closest atoms and distances in Å follow each position.
Sites, in units of the cell vectors:
1 La 0.0000 0.0000 0.0000  4 Er 3.32, 4 Zn 3.32
2 Tb 0.5000 0.5000 0.5000  4 Er 3.32, 4 Zn 3.32
3 Er 0.2500 0.2500 0.2500  4 Tb 3.32, 4 La 3.32
4 Zn 0.7500 0.7500 0.7500  4 Tb 3.32, 4 La 3.32

***

Most stable structure - w; separation to the second - 178 meV per atom.

***

## w
Compound: LaErTe
Source: Alexandria
Functional: PBE
Structure: optimized geometry

## Properties
Space-group type ... P4/nmm (129)

Cell lengths 4.5359, 4.5359, 8.8241 Å; angles 90.00, 90.00, 90.00 degrees
Closest atoms and distances in Å follow each position.
Sites, in units of the cell vectors:
1 La 0.2500 0.2500 0.1446  5 Te 3.31-3.36
2 La 0.7500 0.7500 0.8554  5 Te 3.31-3.36
3 Er 0.2500 0.7500 0.5000  4 Er 3.21, 4 Te 3.25
4 Er 0.7500 0.2500 0.5000  4 Er 3.21, 4 Te 3.25
5 Te 0.2500 0.2500 0.7635  4 Er 3.25, 5 La 3.31-3.36
6 Te 0.7500 0.7500 0.2365  4 Er 3.25, 5 La 3.31-3.36

***

## x
Compound: LaErTe
Source: Alexandria
Functional: PBE
Structure: optimized geometry

## Properties
Space-group type ... P3m1 (156)

Cell lengths 5.2352, 5.2352, 4.0070 Å; angles 90.00, 90.00, 120.00 degrees
Closest atoms and distances in Å follow each position.
Sites, in units of the cell vectors:
1 La 0.0000 0.0000 0.0000  6 Te 3.57-3.69, 6 Er 3.62-3.63
2 Er 0.3333 0.6667 0.4991  3 Te 3.02
3 Te 0.6667 0.3333 0.4727  3 Er 3.02

***

Most stable structure - w; separation to the second - 359 meV per atom.

***

## w
Compound: LaErTe3
Source: Alexandria
Functional: PBE
Structure: optimized geometry

## Properties
Space-group type ... Cmcm (63)

Cell lengths 7.4383, 7.4383, 10.8550 Å; angles 90.00, 90.00, 145.89 degrees
Closest atoms and distances in Å follow each position.
Sites, in units of the cell vectors:
1 La 0.2497 0.7503 0.7500  6 Te 3.20-3.35
2 La 0.7503 0.2497 0.2500  6 Te 3.20-3.35
3 Er 0.0000 0.0000 0.0000  6 Te 2.98-3.07
4 Er 0.0000 0.0000 0.5000  6 Te 2.98-3.07
5 Te 0.0861 0.9139 0.2500  2 Er 2.98, 2 La 3.20
6 Te 0.3553 0.6447 0.0607  2 Er 3.07, 2 La 3.35
7 Te 0.3553 0.6447 0.4393  2 Er 3.07, 2 La 3.35
8 Te 0.6447 0.3553 0.5607  2 Er 3.07, 2 La 3.35
9 Te 0.6447 0.3553 0.9393  2 Er 3.07, 2 La 3.35
10 Te 0.9139 0.0861 0.7500  2 Er 2.98, 2 La 3.20

***

## x
Compound: LaErTe3
Source: Alexandria
Functional: PBE
Structure: optimized geometry

## Properties
Space-group type ... Pnma (62)

Cell lengths 8.3226, 4.4774, 17.3651 Å; angles 90.00, 90.00, 90.00 degrees
Closest atoms and distances in Å follow each position.
Sites, in units of the cell vectors:
1 La 0.1372 0.2500 0.1994  8 Te 3.20-3.57
2 La 0.3628 0.7500 0.6994  8 Te 3.20-3.57
3 La 0.6372 0.2500 0.3006  8 Te 3.20-3.57
4 La 0.8628 0.7500 0.8006  8 Te 3.20-3.57
5 Er 0.2286 0.7500 0.4577  7 Te 3.09-3.28
6 Er 0.2714 0.2500 0.9577  7 Te 3.09-3.28
7 Er 0.7286 0.7500 0.0423  7 Te 3.09-3.28
8 Er 0.7714 0.2500 0.5423  7 Te 3.09-3.28
9 Te 0.0076 0.2500 0.3956  3 Er 3.09-3.22
10 Te 0.1214 0.7500 0.0605  3 Er 3.12-3.28, 2 La 3.29
11 Te 0.1551 0.2500 0.7856  1 Er 3.14, 4 La 3.20-3.32
12 Te 0.3449 0.7500 0.2856  1 Er 3.14, 4 La 3.20-3.32
13 Te 0.3786 0.2500 0.5605  3 Er 3.12-3.28, 2 La 3.29
14 Te 0.4924 0.7500 0.8956  3 Er 3.09-3.22
15 Te 0.5076 0.2500 0.1044  3 Er 3.09-3.22
16 Te 0.6214 0.7500 0.4395  3 Er 3.12-3.28, 2 La 3.29
17 Te 0.6551 0.2500 0.7144  1 Er 3.14, 4 La 3.20-3.32
18 Te 0.8449 0.7500 0.2144  1 Er 3.14, 4 La 3.20-3.32
19 Te 0.8786 0.2500 0.9395  3 Er 3.12-3.28, 2 La 3.29
20 Te 0.9924 0.7500 0.6044  3 Er 3.09-3.22

***

Most stable structure - w; separation to the second - 12 meV per atom.

***

## w
Compound: La2ErTe3
Source: Alexandria
Functional: PBE
Structure: optimized geometry

## Properties
Space-group type ... Fddd (70)

Cell lengths 14.7659, 14.0836, 7.8105 Å; angles 79.17, 69.52, 31.30 degrees
Closest atoms and distances in Å follow each position.
Sites, in units of the cell vectors:
1 La 0.0450 0.0450 0.2050  6 Te 3.23-3.27
2 La 0.1229 0.1229 0.6271  6 Te 3.18-3.25
3 La 0.2050 0.2050 0.0450  6 Te 3.23-3.27
4 La 0.3729 0.3729 0.8771  6 Te 3.18-3.25
5 La 0.6271 0.6271 0.1229  6 Te 3.18-3.25
6 La 0.7950 0.7950 0.9550  6 Te 3.23-3.27
7 La 0.8771 0.8771 0.3729  6 Te 3.18-3.25
8 La 0.9550 0.9550 0.7950  6 Te 3.23-3.27
9 Er 0.2921 0.2921 0.4579  6 Te 3.06-3.09
10 Er 0.4579 0.4579 0.2921  6 Te 3.06-3.09
11 Er 0.5421 0.5421 0.7079  6 Te 3.06-3.09
12 Er 0.7079 0.7079 0.5421  6 Te 3.06-3.09
13 Te 0.0378 0.5394 0.2261  2 Er 3.08-3.09, 4 La 3.23-3.27
14 Te 0.1425 0.6075 0.6075  2 Er 3.06, 4 La 3.18-3.23
15 Te 0.2261 0.6967 0.0378  2 Er 3.08-3.09, 4 La 3.23-3.27
16 Te 0.3033 0.7739 0.4606  2 Er 3.08-3.09, 4 La 3.23-3.27
17 Te 0.3925 0.8575 0.8575  2 Er 3.06, 4 La 3.18-3.23
18 Te 0.4606 0.9622 0.3033  2 Er 3.08-3.09, 4 La 3.23-3.27
19 Te 0.5394 0.0378 0.6967  2 Er 3.08-3.09, 4 La 3.23-3.27
20 Te 0.6075 0.1425 0.1425  2 Er 3.06, 4 La 3.18-3.23
21 Te 0.6967 0.2261 0.5394  2 Er 3.08-3.09, 4 La 3.23-3.27
22 Te 0.7739 0.3033 0.9622  2 Er 3.08-3.09, 4 La 3.23-3.27
23 Te 0.8575 0.3925 0.3925  2 Er 3.06, 4 La 3.18-3.23
24 Te 0.9622 0.4606 0.7739  2 Er 3.08-3.09, 4 La 3.23-3.27

***

## x
Compound: La2ErTe3
Source: Alexandria
Functional: PBE
Structure: optimized geometry

## Properties
Space-group type ... Immm (71)

Cell lengths 7.8084, 7.8084, 7.8084 Å; angles 146.71, 131.88, 59.77 degrees
Closest atoms and distances in Å follow each position.
Sites, in units of the cell vectors:
1 La 0.1723 0.1723 0.0000  6 Te 3.19-3.24
2 La 0.8277 0.8277 0.0000  6 Te 3.19-3.24
3 Er 0.5000 0.5000 0.0000  6 Te 3.06-3.18
4 Te 0.0000 0.5000 0.5000  2 Er 3.18, 4 La 3.23
5 Te 0.3453 0.8453 0.5000  2 Er 3.06, 4 La 3.19-3.24
6 Te 0.6547 0.1547 0.5000  2 Er 3.06, 4 La 3.19-3.24

***

Most stable structure - w; separation to the second - 10 meV per atom.

***

## w
Compound: LaEr2Th
Source: Alexandria
Functional: PBE
Structure: optimized geometry

## Properties
Space-group type ... Fm-3m (225)

Cell lengths 5.6978, 5.6978, 5.6978 Å; angles 60.00, 60.00, 60.00 degrees
Closest atoms and distances in Å follow each position.
Sites, in units of the cell vectors:
1 La 0.0000 0.0000 0.0000  8 Er 3.49
2 Er 0.2500 0.2500 0.2500  4 La 3.49, 4 Th 3.49
3 Er 0.7500 0.7500 0.7500  4 La 3.49, 4 Th 3.49
4 Th 0.5000 0.5000 0.5000  8 Er 3.49

***

## x
Compound: LaEr2Th
Source: Alexandria
Functional: PBE
Structure: optimized geometry

## Properties
Space-group type ... P4/mmm (123)

Cell lengths 5.1205, 5.1205, 4.9451 Å; angles 90.00, 90.00, 90.00 degrees
Closest atoms and distances in Å follow each position.
Sites, in units of the cell vectors:
1 La 0.0000 0.0000 0.0000  8 Er 3.56, 4 Th 3.62
2 Er 0.0000 0.5000 0.5000  4 La 3.56, 4 Th 3.56, 4 Er 3.62
3 Er 0.5000 0.0000 0.5000  4 La 3.56, 4 Th 3.56, 4 Er 3.62
4 Th 0.5000 0.5000 0.0000  8 Er 3.56, 4 La 3.62

***

Most stable structure - x; separation to the second - 66 meV per atom.

***

## w
Compound: LaEr2Th
Source: Alexandria
Functional: PBE
Structure: optimized geometry

## Properties
Space-group type ... R3m (160)

Cell lengths 11.8047, 11.8047, 11.8047 Å; angles 17.50, 17.50, 17.50 degrees
Closest atoms and distances in Å follow each position.
Sites, in units of the cell vectors:
1 La 0.0000 0.0000 0.0000  6 La 3.59, 6 Er 3.65-3.69
2 Er 0.2470 0.2470 0.2470  3 Th 3.46, 6 Er 3.59, 3 La 3.65
3 Er 0.4210 0.4210 0.4210  3 Th 3.47, 6 Er 3.59, 3 La 3.69
4 Th 0.8341 0.8341 0.8341  6 Er 3.46-3.47, 6 Th 3.59

***

## x
Compound: LaEr2Th
Source: Alexandria
Functional: PBE
Structure: optimized geometry

## Properties
Space-group type ... P4/mmm (123)

Cell lengths 3.6120, 3.6120, 9.9877 Å; angles 90.00, 90.00, 90.00 degrees
Closest atoms and distances in Å follow each position.
Sites, in units of the cell vectors:
1 La 0.0000 0.0000 0.0000  4 La 3.61, 8 Er 3.66
2 Er 0.5000 0.5000 0.2620  4 Th 3.49, 4 Er 3.61, 4 La 3.66
3 Er 0.5000 0.5000 0.7380  4 Th 3.49, 4 Er 3.61, 4 La 3.66
4 Th 0.0000 0.0000 0.5000  8 Er 3.49, 4 Th 3.61

***

Most stable structure - x; separation to the second - 9 meV per atom.